## CaNiW2 (GGA-PBE)

Data for an optimized crystal structure of CaNiW2.

```
CaNiW2
1.0
2.737 0.000 0.000
0.000 2.737 0.000
0.000 0.000 9.028
Ni Ca W
1 1 2
Direct
0.500 0.500 0.750 Ni
0.500 0.500 0.250 Ca
0.000 0.000 0.954 W
0.000 0.000 0.546 W
```

Properties
For the formation energy, the calculation gives 613 meV/atom. The density of states at the Fermi level comes out at 5.74 states/eV/cell. As for the final energy: -31.24 eV/cell. The calculation puts the total magnetization at 0.0 μB per formula unit.


## CdSb2 (GGA-PBE)

Data for an optimized crystal structure of CdSb2.

```
CdSb2
1.0
-2.587 3.063 -2.111
-1.861 -3.292 -2.496
-3.098 -0.537 3.018
Sb Cd
2 1
Direct
0.000 0.500 0.500 Sb
0.500 0.000 0.500 Sb
0.000 0.000 0.000 Cd
```

Properties
The density of states at the Fermi level comes out at 1.41 states/eV/cell. As for the final energy: -8.71 eV/cell. The calculation puts the total magnetization at 0.0 μB per formula unit.


## TbCeY2P4 (GGA-PBE)

Data for an optimized crystal structure of TbCeY2P4.

```
TbCeY2P4
1.0
-2.736 -1.532 -2.541
0.975 -6.336 2.770
-5.075 3.296 3.477
Tb Ce Y P
1 1 2 4
Direct
0.000 0.000 0.000 Tb
0.500 0.500 0.000 Ce
0.500 0.000 0.500 Y
0.000 0.500 0.500 Y
0.500 0.251 0.250 P
0.500 0.749 0.750 P
0.000 0.249 0.749 P
0.000 0.751 0.251 P
```

Properties
For the formation energy, the calculation gives -1597 meV/atom. The density of states at the Fermi level comes out at 5.55 states/eV/cell. As for the final energy: -57.91 eV/cell. The calculation puts the total magnetization at 0.4 μB per formula unit.


## TiNbAl2H (GGA-PBE)

Data for an optimized crystal structure of TiNbAl2H.

```
TiNbAl2H
1.0
-3.015 -2.632 0.879
1.324 -0.224 3.871
-2.382 3.059 0.992
H Nb Al Ti
1 1 2 1
Direct
0.000 0.000 0.000 H
0.500 0.500 0.500 Nb
0.000 0.500 0.000 Al
0.500 0.000 0.000 Al
0.000 0.000 0.500 Ti
```

Properties
The density of states at the Fermi level comes out at 2.41 states/eV/cell. As for the final energy: -30.05 eV/cell. The calculation puts the total magnetization at 0.0 μB per formula unit.


## AcTl2P2Pd7 (GGA-PBE)

Data for an optimized crystal structure of AcTl2P2Pd7.

```
AcTl2P2Pd7
1.0
4.534 0.303 -0.389
0.308 4.534 -0.389
1.148 1.147 11.389
Ac Tl P Pd
1 2 2 7
Direct
0.000 0.000 0.000 Ac
0.852 0.852 0.398 Tl
0.148 0.148 0.602 Tl
0.643 0.643 0.815 P
0.357 0.357 0.185 P
0.500 0.500 0.000 Pd
0.366 0.366 0.400 Pd
0.634 0.634 0.600 Pd
0.858 0.362 0.242 Pd
0.362 0.858 0.242 Pd
0.638 0.142 0.758 Pd
0.142 0.638 0.758 Pd
```

Properties
For the formation energy, the calculation gives -496 meV/atom. The density of states at the Fermi level comes out at 5.64 states/eV/cell. As for the final energy: -61.96 eV/cell. The calculation puts the total magnetization at 0.0 μB per formula unit.


## YTaIn2 (GGA-PBE)

Data for an optimized crystal structure of YTaIn2.

```
YTaIn2
1.0
-5.063 1.628 0.377
-4.953 -0.552 -1.897
-1.842 -4.078 3.820
In Ta Y
2 1 1
Direct
0.994 0.994 0.025 In
0.506 0.506 0.475 In
0.250 0.250 0.250 Ta
0.750 0.750 0.750 Y
```

Properties
For the formation energy, the calculation gives 76 meV/atom. The density of states at the Fermi level comes out at 3.66 states/eV/cell. As for the final energy: -23.49 eV/cell. The calculation puts the total magnetization at 0.0 μB per formula unit.


## RbCaSc2 (GGA-PBE)

Data for an optimized crystal structure of RbCaSc2.

```
RbCaSc2
1.0
4.673 -3.363 1.113
-0.312 -5.803 -0.779
2.913 -2.526 -4.417
Sc Ca Rb
2 1 1
Direct
0.250 0.250 0.250 Sc
0.750 0.750 0.750 Sc
0.000 0.000 0.000 Ca
0.500 0.500 0.500 Rb
```

Properties
For the formation energy, the calculation gives 772 meV/atom. The density of states at the Fermi level comes out at 6.83 states/eV/cell. As for the final energy: -12.54 eV/cell. The calculation puts the total magnetization at 0.0 μB per formula unit.


## TlTeP2 (GGA-PBE)

Data for an optimized crystal structure of TlTeP2.

```
TlTeP2
1.0
-3.696 2.043 2.602
-3.211 -3.156 -2.083
0.572 -2.321 2.635
P Te Tl
2 1 1
Direct
0.000 0.000 0.000 P
0.500 0.500 0.000 P
0.500 0.000 0.500 Te
0.000 0.500 0.500 Tl
```

Properties
The density of states at the Fermi level comes out at 2.16 states/eV/cell. As for the final energy: -13.84 eV/cell. The calculation puts the total magnetization at 0.0 μB per formula unit.


Question: Which formula does entry 4 have?
Answer: TiNbAl2H


Question: final energy of number 6 (YTaIn2)?
Answer: -23.49 eV/cell


Question: Which value of final energy does entry 6 give?
Answer: -23.49 eV/cell